1.
Density functional theory data (GGA-PBE) for Ba3Pt after structural relaxation.

The space-group type is P6_3/mmc, No. 194. As for the calculated formation energy: -0.267 eV per atom. For the density of states at the Fermi level, the calculation gives 1.430 states/eV/atom.

abc: 11.0584 11.0584 4.3054
angles: 90.00 90.00 120.00
Positions (direct):
Pt  0.3333  0.6667  0.2500
Ba  0.2113  0.7887  0.7500
Pt  0.6667  0.3333  0.7500
Ba  0.5774  0.7887  0.7500
Ba  0.7887  0.5774  0.2500
Ba  0.2113  0.4226  0.7500
Ba  0.4226  0.2113  0.2500
Ba  0.7887  0.2113  0.2500


2.
Density functional theory data (GGA-PBE) for SbRh3Cl after structural relaxation.

The energy above the most stable polymorph in this dataset is 0 meV/atom. The space-group type is Pm-3m, No. 221. The uncorrected formation energy is 0.61 eV/atom. For the density of states at the Fermi level, the calculation gives 1.264 states/eV/atom.

abc: 4.4938 4.4938 4.4938
angles: 90.00 90.00 90.00
Positions (direct):
Sb  0.5000  0.5000  0.5000
Rh  0.5000  0.0000  0.0000
Rh  0.0000  0.5000  0.0000
Cl  0.0000  0.0000  0.0000
Rh  0.0000  0.0000  0.5000


3.
Density functional theory data (GGA-PBE) for VZnS2N after structural relaxation.

The energy above the most stable polymorph in this dataset is 0 meV/atom. The space-group type is P4/mmm, No. 123. The uncorrected formation energy is 0.03 eV/atom. For the density of states at the Fermi level, the calculation gives 0.636 states/eV/atom.

abc: 4.7408 4.7408 3.6086
angles: 90.00 90.00 90.00
Positions (direct):
S  0.0000  0.5000  0.0000
V  0.0000  0.0000  0.0000
N  0.0000  0.0000  0.5000
Zn  0.5000  0.5000  0.5000
S  0.5000  0.0000  0.0000


4.
Density functional theory data (GGA-PBE) for TmScN2 after structural relaxation.

The space-group type is R3m, No. 160. The uncorrected formation energy is -1.56 eV/atom. For the density of states at the Fermi level, the calculation gives 0.012 states/eV/atom.

abc: 3.2607 3.2607 5.9458
angles: 74.09 74.09 60.00
Positions (direct):
Sc  0.4984  0.4984  0.5048
N  0.0842  0.0842  0.7474
Tm  0.6693  0.6693  0.9920
N  0.2481  0.2481  0.2558


5.
Density functional theory data (GGA-PBE) for Tb2DyY7 after structural relaxation.

The energy above the most stable polymorph in this dataset is 0 meV/atom. The space-group type is C2/m, No. 12. As for the calculated formation energy: 0.115 eV per atom. For the density of states at the Fermi level, the calculation gives 1.645 states/eV/atom.

abc: 3.5062 15.1740 15.1740
angles: 156.46 90.09 90.09
Positions (direct):
Tb  0.5000  0.1916  0.8084
Y  0.7673  0.6454  0.8455
Y  0.2327  0.1545  0.3546
Y  0.0000  0.2930  0.7070
Y  0.7673  0.8455  0.6454
Y  0.2327  0.3546  0.1545
Dy  0.0000  0.0000  0.0000
Tb  0.5000  0.8084  0.1916
Y  0.5000  0.5000  0.5000
Y  0.0000  0.7070  0.2930


6.
Density functional theory data (GGA-PBE) for MgTcAg2B after structural relaxation.

The space-group type is P4/mmm, No. 123. As for the calculated formation energy: 0.860 eV per atom. For the density of states at the Fermi level, the calculation gives 0.709 states/eV/atom.

abc: 4.2675 4.5216 4.2675
angles: 90.00 90.00 90.00
Site moments in Bohr magnetons follow the coordinates.
Positions (direct):
Ag  0.5000  0.0000  0.0000  -0.03
Ag  0.0000  0.0000  0.5000  -0.01
B  0.0000  0.0000  0.0000  0.01
Mg  0.0000  0.5000  0.0000  -0.02
Tc  0.5000  0.5000  0.5000  2.29


7.
Density functional theory data (GGA-PBE) for PuPaNbPb after structural relaxation.

The space-group type is F-43m, No. 216. As for the calculated formation energy: 0.339 eV per atom. For the density of states at the Fermi level, the calculation gives 2.254 states/eV/atom.

abc: 5.2000 5.2000 5.2000
angles: 60.00 60.00 60.00
Site moments in Bohr magnetons follow the coordinates.
Positions (direct):
Nb  0.0000  0.0000  0.0000  -0.43
Pb  0.5000  0.5000  0.5000  -0.01
Pa  0.7500  0.7500  0.7500  0.08
Pu  0.2500  0.2500  0.2500  5.22


8.
Density functional theory data (GGA-PBE) for RbMgSn2Os after structural relaxation.

The energy above the most stable polymorph in this dataset is 983 meV/atom. The space-group type is P4/mmm, No. 123. As for the calculated formation energy: 1.041 eV per atom. For the density of states at the Fermi level, the calculation gives 0.910 states/eV/atom.

abc: 5.4630 5.0026 5.4630
angles: 90.00 90.00 90.00
Site moments in Bohr magnetons follow the coordinates.
Positions (direct):
Sn  0.5000  0.0000  0.0000  -0.03
Mg  0.0000  0.0000  0.0000  -0.01
Rb  0.5000  0.5000  0.5000  0.00
Sn  0.0000  0.0000  0.5000  -0.03
Os  0.0000  0.5000  0.0000  1.43


9.
Density functional theory data (GGA-PBE) for Na3GaAg after structural relaxation.

The energy above the most stable polymorph in this dataset is 367 meV/atom. The space-group type is Pm-3m, No. 221. As for the calculated formation energy: 0.393 eV per atom. For the density of states at the Fermi level, the calculation gives 0.800 states/eV/atom.

abc: 5.5633 5.5633 5.5633
angles: 90.00 90.00 90.00
Positions (direct):
Na  0.0000  0.0000  0.5000
Na  0.0000  0.5000  0.0000
Ga  0.0000  0.0000  0.0000
Ag  0.5000  0.5000  0.5000
Na  0.5000  0.0000  0.0000


10.
Density functional theory data (GGA-PBE) for Th3Mg7Ir4 after structural relaxation.

The space-group type is C2/m, No. 12. As for the calculated formation energy: -0.507 eV per atom. For the density of states at the Fermi level, the calculation gives 0.639 states/eV/atom.

abc: 4.0177 8.5410 9.5130
angles: 75.44 77.81 76.40
Positions (direct):
Ir  0.1147  0.0678  0.7028
Ir  0.3498  0.5738  0.7267
Th  0.7062  0.8155  0.7722
Th  0.0000  0.5000  0.5000
Mg  0.4849  0.2346  0.7955
Mg  0.5151  0.7654  0.2045
Mg  0.6750  0.1473  0.5026
Mg  0.8302  0.4111  0.9284
Mg  0.0000  0.0000  0.0000
Ir  0.6502  0.4262  0.2733
Ir  0.8853  0.9322  0.2972
Mg  0.1698  0.5889  0.0716
Mg  0.3250  0.8527  0.4974
Th  0.2938  0.1845  0.2278


11.
Density functional theory data (GGA-PBE) for FeIrRu2 after structural relaxation.

The energy above the most stable polymorph in this dataset is 1085 meV/atom. The space-group type is I-42d, No. 122. As for the calculated formation energy: 1.085 eV per atom. For the density of states at the Fermi level, the calculation gives 0.750 states/eV/atom.

abc: 5.2977 5.2977 6.6097
angles: 66.38 66.38 90.00
Positions (direct):
Ru  0.1519  0.6250  0.2500
Ru  0.3750  0.4019  0.7500
Fe  0.2500  0.7500  0.5000
Ru  0.5981  0.1250  0.2500
Fe  0.5000  0.5000  0.0000
Ir  0.0000  0.0000  0.0000
Ru  0.8750  0.8481  0.7500
Ir  0.7500  0.2500  0.5000


12.
Density functional theory data (GGA-PBE) for Cs2KTe2 after structural relaxation.

The energy above the most stable polymorph in this dataset is 0 meV/atom. The space-group type is C2/m, No. 12. The uncorrected formation energy is -0.88 eV/atom. For the density of states at the Fermi level, the calculation gives 0.379 states/eV/atom.

abc: 5.4982 7.5998 13.6706
angles: 82.53 78.40 68.79
Positions (direct):
K  0.3408  0.9535  0.3650
Te  0.3319  0.1927  0.1434
Cs  0.6535  0.3941  0.2989
Cs  0.9081  0.2494  0.9344
Te  0.6681  0.8073  0.8566
Cs  0.0919  0.7506  0.0656
Cs  0.3465  0.6059  0.7011
Te  0.0712  0.3149  0.5427
K  0.6592  0.0465  0.6350
Te  0.9288  0.6851  0.4573